VASP calculation (PBE with a Hubbard U) on crystalline NaW2O7 at its relaxed geometry.

Calculated values
Its crystal system is orthorhombic. For the calculated density, the calculation gives 6.699 g/cm³. The offset from the most stable computed form comes out at 0.0 kJ per mole of atoms. As for the total magnetic moment: 1.044 μB/f.u. The value obtained for the total energy is -6.79 eV/atom.

a b c (Å): 3.856 5.974 5.974
angles (deg): 115.13 90.00 90.00
Last column: magnetic moment on the atom in μB.
Fractional positions:
Na  0.000  0.000  0.000  0.00
W  0.500  0.691  0.309  -0.03
W  0.500  0.309  0.691  -0.03
O  0.000  0.694  0.306  0.00
O  0.000  0.306  0.694  0.00
O  0.500  0.040  0.333  0.23
O  0.500  0.960  0.667  0.23
O  0.500  0.333  0.040  0.23
O  0.500  0.667  0.960  0.23
O  0.500  0.500  0.500  0.06